First-principles (PBE-GGA) data for a geometry-optimized TaNbAu structure, as listed in Alexandria via LeMat-Bulk.

The structure in extended XYZ format:
```
6
Lattice="-2.9460 -3.1371 -1.6870 0.8250 -1.9778 -4.0957 2.6056 -6.3916 1.0028" Properties=species:S:1:pos:R:3 pbc="T T T"
Ta -0.4555 -4.7660 -3.0072
Ta 0.9401 -6.7405 -1.7726
Au -0.2414 -2.3637 -1.5157
Au 0.7259 -9.1428 -3.2642
Nb -0.7212 -7.0954 -4.5444
Nb 1.2058 -4.4111 -0.2355
```

Calculated values
- space-group type = R-3m (166)
- energy above the lowest structure with this stoichiometry (eV per formula unit) = 1.09
- final energy (eV per atom) = -8.1396
- crystal system = trigonal
- ΔE_f (meV/atom) = 260